Record 1
The following is a DFT calculation (GGA-PBE) of crystalline CsTlO2 at its relaxed geometry.

Structure (CIF):
```
data_CsTlO2
_chemical_formula_sum 'Cs1 Tl1 O2'
_cell_length_a 3.623
_cell_length_b 3.623
_cell_length_c 7.148
_cell_angle_alpha 90.00
_cell_angle_beta 90.00
_cell_angle_gamma 120.00
_symmetry_space_group_name_H-M 'P 1'
_symmetry_Int_Tables_number 1
_symmetry_space_group_name_Hall 'P 1'
loop_
_atom_site_label
_atom_site_type_symbol
_atom_site_fract_x
_atom_site_fract_y
_atom_site_fract_z
_atom_site_occupancy
Cs1 Cs 0.000 0.000 0.000 1
Tl1 Tl 0.667 0.333 0.545 1
O1 O 0.000 0.000 0.399 1
O2 O 0.333 0.667 0.722 1
```

Calculated values
- Space-group type: P3m1
- Mass density: 7545 kg/m3
- Formation energy (no corrections): -0.837 eV/atom

***

Record 2
The following is a DFT calculation (GGA-PBE) of crystalline CsTlO2 at its relaxed geometry.

Structure (CIF):
```
data_CsTlO2
_chemical_formula_sum 'Cs2 Tl2 O4'
_cell_length_a 4.506
_cell_length_b 7.434
_cell_length_c 7.685
_cell_angle_alpha 103.19
_cell_angle_beta 96.62
_cell_angle_gamma 103.32
_symmetry_space_group_name_H-M 'P 1'
_symmetry_Int_Tables_number 1
_symmetry_space_group_name_Hall 'P 1'
loop_
_atom_site_label
_atom_site_type_symbol
_atom_site_fract_x
_atom_site_fract_y
_atom_site_fract_z
_atom_site_occupancy
Cs1 Cs 0.057 0.161 0.295 1
Cs2 Cs 0.943 0.839 0.705 1
Tl1 Tl 0.367 0.694 0.164 1
Tl2 Tl 0.633 0.306 0.836 1
O1 O 0.419 0.898 0.459 1
O2 O 0.481 0.098 0.019 1
O3 O 0.519 0.902 0.981 1
O4 O 0.581 0.102 0.541 1
```

Calculated values
- Space-group type: P-1
- Mass density: 5109 kg/m3
- Formation energy (no corrections): -0.701 eV/atom

***

Record 3
The following is a DFT calculation (GGA-PBE) of crystalline CsTlO2 at its relaxed geometry.

Structure (CIF):
```
data_CsTlO2
_chemical_formula_sum 'Cs2 Tl2 O4'
_cell_length_a 4.531
_cell_length_b 7.076
_cell_length_c 7.396
_cell_angle_alpha 98.10
_cell_angle_beta 93.33
_cell_angle_gamma 90.37
_symmetry_space_group_name_H-M 'P 1'
_symmetry_Int_Tables_number 1
_symmetry_space_group_name_Hall 'P 1'
loop_
_atom_site_label
_atom_site_type_symbol
_atom_site_fract_x
_atom_site_fract_y
_atom_site_fract_z
_atom_site_occupancy
Cs1 Cs 0.076 0.249 0.279 1
Cs2 Cs 0.924 0.751 0.721 1
Tl1 Tl 0.453 0.298 0.785 1
Tl2 Tl 0.547 0.702 0.215 1
O1 O 0.162 0.519 0.994 1
O2 O 0.396 0.528 0.573 1
O3 O 0.604 0.472 0.427 1
O4 O 0.838 0.481 0.006 1
```

Calculated values
- Space-group type: P-1
- Mass density: 5234 kg/m3
- Formation energy (no corrections): -0.723 eV/atom